BaDy2Sc after structural relaxation, computed with GGA-PBE.

Cell and atoms, written as POSCAR:
```
BaDy2Sc
1.0
3.5454 0.0000 0.0000
-1.7727 3.0704 0.0000
0.0000 0.0000 37.5090
Ba Dy Sc
3 6 3
Direct
0.0000 0.0000 0.0000 Ba
0.3333 0.6667 0.6667 Ba
0.6667 0.3333 0.3333 Ba
0.0000 0.0000 0.0963 Dy
0.0000 0.0000 0.9037 Dy
0.3333 0.6667 0.5703 Dy
0.3333 0.6667 0.7630 Dy
0.6667 0.3333 0.2370 Dy
0.6667 0.3333 0.4297 Dy
0.0000 0.0000 0.5000 Sc
0.3333 0.6667 0.1667 Sc
0.6667 0.3333 0.8333 Sc
```

ΔE to the lowest computed polymorph = 0.097 eV per atom
SG = R-3m, No. 166
Crystal system = trigonal
Formation energy from the elements = 0.25 eV per atom
Calculated density = 6.2 Mg/m³



BaDy4ScSe8 after structural relaxation, computed with GGA-PBE.

Cell and atoms, written as POSCAR:
```
BaDy4ScSe8
1.0
4.3156 2.4916 6.8151
-4.3156 2.4916 6.8151
0.0000 -4.9832 6.8151
Ba Dy Sc Se
1 4 1 8
Direct
0.0000 0.0000 0.0000 Ba
0.3806 0.3806 0.8912 Dy
0.3806 0.8912 0.3806 Dy
0.7604 0.7604 0.7604 Dy
0.8912 0.3806 0.3806 Dy
0.3829 0.3829 0.3829 Sc
0.1475 0.1475 0.1475 Se
0.1578 0.6236 0.6236 Se
0.1607 0.1607 0.5767 Se
0.1607 0.5767 0.1607 Se
0.5767 0.1607 0.1607 Se
0.6236 0.1578 0.6236 Se
0.6236 0.6236 0.1578 Se
0.6261 0.6261 0.6261 Se
```

SG = R3m, No. 160
Crystal system = trigonal
Calculated density = 5.5 Mg/m³
Formation energy (no corrections) = -1.74 eV per atom



Ba3Dy3ScSe8 after structural relaxation, computed with GGA-PBE.

Cell and atoms, written as POSCAR:
```
Ba3Dy3ScSe8
1.0
4.1824 2.4147 7.5344
-4.1824 2.4147 7.5344
0.0000 -4.8295 7.5344
Ba Dy Sc Se
3 3 1 8
Direct
0.0000 0.5000 0.5000 Ba
0.5000 0.0000 0.5000 Ba
0.5000 0.5000 0.0000 Ba
0.0000 0.0000 0.5000 Dy
0.0000 0.5000 0.0000 Dy
0.5000 0.0000 0.0000 Dy
0.5000 0.5000 0.5000 Sc
0.2377 0.2377 0.2377 Se
0.2435 0.7307 0.7307 Se
0.2693 0.2693 0.7565 Se
0.2693 0.7565 0.2693 Se
0.7307 0.2435 0.7307 Se
0.7307 0.7307 0.2435 Se
0.7565 0.2693 0.2693 Se
0.7623 0.7623 0.7623 Se
```

SG = R-3m, No. 166
Crystal system = trigonal
Calculated density = 5.7 Mg/m³
Formation energy (no corrections) = -1.89 eV per atom



Ba3Dy3ScTe8 after structural relaxation, computed with GGA-PBE.

Cell and atoms, written as POSCAR:
```
Ba3Dy3ScTe8
1.0
4.4697 2.5806 8.0082
-4.4697 2.5806 8.0082
0.0000 -5.1611 8.0082
Ba Dy Sc Te
3 3 1 8
Direct
0.0000 0.5000 0.5000 Ba
0.5000 0.0000 0.5000 Ba
0.5000 0.5000 0.0000 Ba
0.0000 0.0000 0.5000 Dy
0.0000 0.5000 0.0000 Dy
0.5000 0.0000 0.0000 Dy
0.5000 0.5000 0.5000 Sc
0.2386 0.2386 0.2386 Te
0.2427 0.7333 0.7333 Te
0.2667 0.2667 0.7573 Te
0.2667 0.7573 0.2667 Te
0.7333 0.2427 0.7333 Te
0.7333 0.7333 0.2427 Te
0.7573 0.2667 0.2667 Te
0.7614 0.7614 0.7614 Te
```

SG = R-3m, No. 166
Crystal system = trigonal
Calculated density = 5.9 Mg/m³
Formation energy (no corrections) = -1.49 eV per atom



Ba2DyScTe5 after structural relaxation, computed with GGA-PBE.

Cell and atoms, written as POSCAR:
```
Ba2DyScTe5
1.0
2.3289 -9.5674 0.0000
2.3289 9.5674 0.0000
0.0000 0.0000 14.8080
Ba Dy Sc Te
4 2 2 10
Direct
0.1069 0.8931 0.5000 Ba
0.1431 0.8569 0.1228 Ba
0.8569 0.1431 0.6228 Ba
0.8931 0.1069 0.0000 Ba
0.2114 0.7886 0.8316 Dy
0.7886 0.2114 0.3316 Dy
0.4716 0.5284 0.2630 Sc
0.5284 0.4716 0.7630 Sc
0.0515 0.9485 0.8670 Te
0.2834 0.7166 0.4696 Te
0.3225 0.6775 0.1941 Te
0.3725 0.6275 0.8122 Te
0.4883 0.5117 0.5829 Te
0.5117 0.4883 0.0829 Te
0.6275 0.3725 0.3122 Te
0.6775 0.3225 0.6941 Te
0.7166 0.2834 0.9696 Te
0.9485 0.0515 0.3670 Te
```

SG = Cmc2_1, No. 36
Crystal system = orthorhombic
Calculated density = 5.6 Mg/m³
Formation energy (no corrections) = -1.50 eV per atom



BaDySe after structural relaxation, computed with GGA-PBE.

Cell and atoms, written as POSCAR:
```
BaDySe
1.0
14.4957 0.0000 0.0000
0.0000 4.1822 0.0000
0.0000 0.0000 7.2364
Ba Dy Se
4 4 4
Direct
0.1481 0.0000 0.0000 Ba
0.1481 0.5000 0.5000 Ba
0.8519 0.0000 0.0000 Ba
0.8519 0.5000 0.5000 Ba
0.3807 0.0000 0.6638 Dy
0.3807 0.5000 0.1638 Dy
0.6193 0.0000 0.6638 Dy
0.6193 0.5000 0.1638 Dy
0.0000 0.0000 0.6667 Se
0.0000 0.5000 0.1667 Se
0.5000 0.0000 0.9972 Se
0.5000 0.5000 0.4972 Se
```

SG = Amm2, No. 38
Crystal system = orthorhombic
Calculated density = 5.7 Mg/m³
Formation energy (no corrections) = -0.92 eV per atom



Ba2Dy3Se6 after structural relaxation, computed with GGA-PBE.

Cell and atoms, written as POSCAR:
```
Ba2Dy3Se6
1.0
3.6351 -6.2923 0.0000
3.6351 6.2923 0.0000
-2.4167 0.0000 7.5554
Ba Dy Se
2 3 6
Direct
0.1670 0.8330 0.0000 Ba
0.8330 0.1670 0.0000 Ba
0.0000 0.0000 0.5000 Dy
0.3342 0.6658 0.5000 Dy
0.6658 0.3342 0.5000 Dy
0.0710 0.4036 0.7113 Se
0.2633 0.2633 0.2872 Se
0.4036 0.0710 0.7113 Se
0.5964 0.9290 0.2887 Se
0.7367 0.7367 0.7128 Se
0.9290 0.5964 0.2887 Se
```

SG = C2/m, No. 12
Crystal system = monoclinic
Calculated density = 5.9 Mg/m³
Formation energy (no corrections) = -1.94 eV per atom



BaDy2Se after structural relaxation, computed with GGA-PBE.

Cell and atoms, written as POSCAR:
```
BaDy2Se
1.0
3.8816 0.0000 0.0000
-1.9408 3.3616 0.0000
0.0000 0.0000 32.1882
Ba Dy Se
3 6 3
Direct
0.0000 0.0000 0.0000 Ba
0.3333 0.6667 0.6667 Ba
0.6667 0.3333 0.3333 Ba
0.0000 0.0000 0.1138 Dy
0.0000 0.0000 0.8862 Dy
0.3333 0.6667 0.5529 Dy
0.3333 0.6667 0.7804 Dy
0.6667 0.3333 0.2196 Dy
0.6667 0.3333 0.4471 Dy
0.0000 0.0000 0.5000 Se
0.3333 0.6667 0.1667 Se
0.6667 0.3333 0.8333 Se
```

SG = R-3m, No. 166
Crystal system = trigonal
Calculated density = 6.4 Mg/m³
Formation energy (no corrections) = -0.61 eV per atom



BaSmDy4Se8 after structural relaxation, computed with GGA-PBE.

Cell and atoms, written as POSCAR:
```
BaSmDy4Se8
1.0
4.3032 2.4844 7.1043
-4.3032 2.4844 7.1043
0.0000 -4.9689 7.1043
Ba Sm Dy Se
1 1 4 8
Direct
0.0000 0.0000 0.0000 Ba
0.6288 0.6288 0.6288 Sm
0.1224 0.6283 0.6283 Dy
0.2522 0.2522 0.2522 Dy
0.6283 0.1224 0.6283 Dy
0.6283 0.6283 0.1224 Dy
0.3810 0.3810 0.8573 Se
0.3810 0.8573 0.3810 Se
0.3841 0.3841 0.3841 Se
0.4270 0.8635 0.8635 Se
0.8573 0.3810 0.3810 Se
0.8588 0.8588 0.8588 Se
0.8635 0.4270 0.8635 Se
0.8635 0.8635 0.4270 Se
```

SG = R3m, No. 160
Crystal system = trigonal
Calculated density = 5.7 Mg/m³
Formation energy (no corrections) = -1.78 eV per atom



Ba2SmDySe4 after structural relaxation, computed with GGA-PBE.

Cell and atoms, written as POSCAR:
```
Ba2SmDySe4
1.0
7.4789 0.0000 0.0000
0.0000 4.3270 0.0000
-2.5035 0.0000 7.3968
Ba Sm Dy Se
2 1 1 4
Direct
0.0000 0.0000 0.0000 Ba
0.5000 0.5000 0.0000 Ba
0.0000 0.5000 0.5000 Sm
0.5000 0.0000 0.5000 Dy
0.2435 0.0000 0.7163 Se
0.2663 0.5000 0.2863 Se
0.7337 0.5000 0.7137 Se
0.7565 0.0000 0.2837 Se
```

SG = P2/m, No. 10
Crystal system = monoclinic
Calculated density = 6.3 Mg/m³
Formation energy (no corrections) = -1.89 eV per atom



Ba3Sm3DySe8 after structural relaxation, computed with GGA-PBE.

Cell and atoms, written as POSCAR:
```
Ba3Sm3DySe8
1.0
4.2775 2.4696 7.5544
-4.2775 2.4696 7.5544
0.0000 -4.9392 7.5544
Ba Sm Dy Se
3 3 1 8
Direct
0.0000 0.5000 0.5000 Ba
0.5000 0.0000 0.5000 Ba
0.5000 0.5000 0.0000 Ba
0.0000 0.0000 0.5000 Sm
0.0000 0.5000 0.0000 Sm
0.5000 0.0000 0.0000 Sm
0.5000 0.5000 0.5000 Dy
0.2398 0.2398 0.2398 Se
0.2425 0.7355 0.7355 Se
0.2645 0.2645 0.7575 Se
0.2645 0.7575 0.2645 Se
0.7355 0.2425 0.7355 Se
0.7355 0.7355 0.2425 Se
0.7575 0.2645 0.2645 Se
0.7602 0.7602 0.7602 Se
```

SG = R-3m, No. 166
Crystal system = trigonal
Calculated density = 5.7 Mg/m³
Formation energy (no corrections) = -1.94 eV per atom



Ba2SrDySe4 after structural relaxation, computed with GGA-PBE.

Cell and atoms, written as POSCAR:
```
Ba2SrDySe4
1.0
7.7006 0.0000 0.0000
0.0000 4.4248 0.0000
-2.5374 0.0000 7.4022
Ba Sr Dy Se
2 1 1 4
Direct
0.0000 0.0000 0.0000 Ba
0.5000 0.5000 0.0000 Ba
0.0000 0.5000 0.5000 Sr
0.5000 0.0000 0.5000 Dy
0.2558 0.0000 0.7232 Se
0.2733 0.5000 0.2832 Se
0.7267 0.5000 0.7168 Se
0.7442 0.0000 0.2768 Se
```

SG = P2/m, No. 10
Crystal system = monoclinic
Calculated density = 5.5 Mg/m³
Formation energy (no corrections) = -1.95 eV per atom